No. 1
YTaW2: relaxed, PBE-GGA.

Geometry as POSCAR:
```
YTaW2
1.0
-0.5937 -1.4222 4.3047
-2.6189 -0.9810 -0.6853
1.3564 -5.5424 -1.6441
Ta W Y
1 2 1
Direct
0.5000 0.7500 0.7500 Ta
0.0000 0.9922 0.9656 W
0.0000 0.5078 0.5344 W
0.5000 0.2500 0.2500 Y
```

Results
The density of states at the Fermi level is 0.92 states/eV/atom. Its total energy is -42.5 eV per cell. The energy relative to the lowest polymorph listed for this composition comes out at 127.0 meV/atom. The formation energy is 41.90 kJ per mole of atoms. The space group is No. 10. As for the density: 13757 kg/m³.

No. 2
RbHI6: relaxed, PBE-GGA.

Geometry as POSCAR:
```
RbHI6
1.0
-4.6638 -3.3927 -5.8811
2.7839 -7.2882 -3.7805
-5.5963 -4.5160 1.2973
Rb H I
1 1 6
Direct
0.5000 0.5000 0.5000 Rb
0.0000 0.0000 0.0000 H
0.1506 0.0136 0.6849 I
0.3910 0.2234 0.9951 I
0.8748 0.4140 0.8358 I
0.6090 0.7766 0.0049 I
0.8494 0.9864 0.3151 I
0.1252 0.5860 0.1642 I
```

Results
Its total energy is -16.4 eV per cell. The space group is No. 2. As for the density: 3725 kg/m³.

No. 3
AcAgO2: relaxed, PBE-GGA.

Geometry as POSCAR:
```
AcAgO2
1.0
-2.4840 0.8872 1.8744
-1.7218 -4.0052 -0.3861
2.2142 -1.2937 3.5467
Ac O Ag
1 2 1
Direct
0.5000 0.5000 0.5000 Ac
0.0000 0.0000 0.5000 O
0.0000 0.5000 0.0000 O
0.5000 0.0000 0.0000 Ag
```

Results
The density of states at the Fermi level is 0.27 states/eV/atom. Its total energy is -23.3 eV per cell. The energy relative to the lowest polymorph listed for this composition comes out at 545.0 meV/atom. The space group is No. 123. The value obtained for the formation energy (no corrections) is -1609 meV per atom. As for the density: 9828 kg/m³.

No. 4
SbPtPb2: relaxed, PBE-GGA.

Geometry as POSCAR:
```
SbPtPb2
1.0
5.7719 0.0861 0.0000
2.0381 5.4008 0.0000
-3.9050 -2.7434 3.2476
Pb Pt Sb
2 1 1
Direct
0.0000 0.0000 0.0000 Pb
0.5000 0.5000 0.0000 Pb
0.2500 0.7500 0.5000 Pt
0.7500 0.2500 0.5000 Sb
```

Results
The density of states at the Fermi level is 0.39 states/eV/atom. Its total energy is -17.2 eV per cell. The space group is No. 139. The value obtained for the formation energy (no corrections) is 107 meV per atom. As for the density: 12062 kg/m³.